1.
Computed, not measured: a PBEsol-optimized structure of TaMo2Ru at the SCAN level of DFT.

It has space group P4mm (No. 99), with a = 3.129 Å, b = 3.129 Å, c = 6.286 Å, α = 90.00°, β = 90.00° and γ = 90.00°. The distinct sites, in fractional coordinates, are Ta at (0.000, 0.000, 0.000), Mo at (0.000, 0.000, 0.489), Mo at (0.500, 0.500, 0.259) and Ru at (0.500, 0.500, 0.757).

=====

2.
Computed, not measured: a PBEsol-optimized structure of TaTcMo2Ru at the SCAN level of DFT.

It has space group P4/mmm (No. 123), with a = 4.503 Å, b = 4.503 Å, c = 4.688 Å, α = 90.00°, β = 90.00° and γ = 90.00°. The distinct sites, in fractional coordinates, are Ta at (0.000, 0.000, 0.000), Tc at (0.000, 0.000, 0.500), Mo at (0.000, 0.500, 0.500) and Ru at (0.500, 0.500, 0.000).

=====

no.,energy of formation from the pure elements (meV per atom)
1,-150
2,1714